This record from the Alexandria database describes a relaxed structure of V2CuWO8. The functional is PBE with a Hubbard U.

Results
- electronic total energy (eV per atom) = -7.198
- mass density (Mg/m³) = 6.11

Cell lengths 4.5961, 4.5957, 6.1427 Å; angles 90.00, 90.00, 90.44 degrees
Fractional positions:
V  0.5000  0.5000  0.7394
V  0.5000  0.5000  0.2606
Cu  0.0000  0.0000  0.5000
W  0.0000  0.0000  0.0000
O  0.2075  0.7923  0.2278
O  0.7005  0.7007  0.0000
O  0.7925  0.2077  0.2278
O  0.7925  0.2077  0.7722
O  0.2995  0.2993  0.0000
O  0.2075  0.7923  0.7722
O  0.6911  0.6911  0.5000
O  0.3089  0.3089  0.5000